[1]
Entry from the Alexandria database: crystalline LiZn2Au at its relaxed geometry (PBEsol).

Summary:
As for the energy above the lowest structure with this stoichiometry: 52 meV per atom. Its crystal system is cubic.

Unit cell a=4.3117 b=4.3117 c=4.3117 alpha=60.00 beta=60.00 gamma=60.00
Closest atoms and distances in Å follow each position.
Sites, in units of the cell vectors:
Zn: 0.0000 0.0000 0.0000  4 Li 2.64, 4 Zn 2.64
Zn: 0.7500 0.7500 0.7500  4 Au 2.64, 4 Zn 2.64
Au: 0.5000 0.5000 0.5000  4 Zn 2.64, 4 Li 2.64
Li: 0.2500 0.2500 0.2500  4 Au 2.64, 4 Zn 2.64



[2]
Entry from the Alexandria database: crystalline CaReOs at its relaxed geometry (PBEsol).

Summary:
Its crystal system is orthorhombic. The value obtained for the total energy is -26.3 eV for the cell shown.

Unit cell a=2.8088 b=3.8170 c=5.8823 alpha=108.93 beta=103.81 gamma=90.00
Closest atoms and distances in Å follow each position.
Sites, in units of the cell vectors:
Os: 0.7067 0.7067 0.4133  4 Re 2.54, 2 Os 2.81
Ca: 0.0012 0.0012 0.0025  2 Ca 2.81, 1 Re 3.13
Re: 0.2921 0.2921 0.5842  4 Os 2.54, 2 Re 2.81



[3]
Entry from the Alexandria database: crystalline Cd24Sb5 at its relaxed geometry (PBEsol).

Summary:
Its crystal system is cubic. The value obtained for the total energy is -49.9 eV for the cell shown.

Unit cell a=9.4570 b=9.4570 c=9.4570 alpha=109.47 beta=109.47 gamma=109.47
Closest atoms and distances in Å follow each position.
Sites, in units of the cell vectors:
Cd: 0.7366 0.3120 0.3120  7 Cd 2.90-3.13, 1 Sb 3.15
Cd: 0.6880 0.4247 0.0000  7 Cd 2.90-3.13, 1 Sb 3.15
Cd: 0.8103 0.2073 0.8103  8 Cd 2.90-3.20
Cd: 0.7927 0.6030 0.6030  8 Cd 2.90-3.20
Cd: 0.3120 0.3120 0.7366  7 Cd 2.90-3.13, 1 Sb 3.15
Cd: 0.0000 0.3970 0.1897  8 Cd 2.90-3.20
Cd: 0.1897 0.3970 0.0000  8 Cd 2.90-3.20
Cd: 0.3970 0.0000 0.1897  8 Cd 2.90-3.20
Cd: 0.5753 0.2634 0.5753  7 Cd 2.90-3.13, 1 Sb 3.15
Cd: 0.6030 0.6030 0.7927  8 Cd 2.90-3.20
Cd: 0.1897 0.0000 0.3970  8 Cd 2.90-3.20
Cd: 0.0000 0.4247 0.6880  7 Cd 2.90-3.13, 1 Sb 3.15
Cd: 0.4247 0.6880 0.0000  7 Cd 2.90-3.13, 1 Sb 3.15
Cd: 0.2634 0.5753 0.5753  7 Cd 2.90-3.13, 1 Sb 3.15
Cd: 0.3120 0.7366 0.3120  7 Cd 2.90-3.13, 1 Sb 3.15
Cd: 0.6030 0.7927 0.6030  8 Cd 2.90-3.20
Cd: 0.5753 0.5753 0.2634  7 Cd 2.90-3.13, 1 Sb 3.15
Cd: 0.0000 0.6880 0.4247  7 Cd 2.90-3.13, 1 Sb 3.15
Cd: 0.2073 0.8103 0.8103  8 Cd 2.90-3.20
Cd: 0.3970 0.1897 0.0000  8 Cd 2.90-3.20
Cd: 0.8103 0.8103 0.2073  8 Cd 2.90-3.20
Cd: 0.4247 0.0000 0.6880  7 Cd 2.90-3.13, 1 Sb 3.15
Cd: 0.0000 0.1897 0.3970  8 Cd 2.90-3.20
Cd: 0.6880 0.0000 0.4247  7 Cd 2.90-3.13, 1 Sb 3.15
Sb: 0.0000 0.0000 0.0000  4 Sb 2.98
Sb: 0.6848 0.0000 0.0000  1 Sb 2.98, 9 Cd 3.15-3.27
Sb: 0.0000 0.6848 0.0000  1 Sb 2.98, 9 Cd 3.15-3.27
Sb: 0.3152 0.3152 0.3152  1 Sb 2.98, 9 Cd 3.15-3.27
Sb: 0.0000 0.0000 0.6848  1 Sb 2.98, 9 Cd 3.15-3.27



| no. | total moment (μB/cell) |
| --- | --- |
| 1 | 0.00 |
| 2 | 0.00 |
| 3 | 0.00 |